VASP calculation (PBE) on AcCdW after structural relaxation.

extended XYZ file:
```
12
Lattice="7.319 0.000 0.000 0.000 7.319 0.000 0.000 0.000 7.319" Properties=species:S:1:pos:R:3 pbc="T T T"
Ac 0.000 0.000 0.000
Ac 0.000 3.659 3.659
Ac 3.659 0.000 3.659
Ac 3.659 3.659 0.000
Cd 1.830 1.830 5.489
Cd 1.830 5.489 1.830
Cd 5.489 1.830 1.830
Cd 5.489 5.489 5.489
W 1.830 1.830 1.830
W 1.830 5.489 5.489
W 5.489 1.830 5.489
W 5.489 5.489 1.830
```

Calculated values
- Crystal system: cubic
- Mass density: 8.9 g/cm3
- Calculated formation energy: 1.62 eV per atom
- Uncorrected energy: -52.4 eV per cell